# BeCu2Au

Crystalline BeCu2Au at its relaxed geometry (PBE, Alexandria).

Cell and atoms, written as CIF:
```
data_BeCu2Au
_chemical_formula_sum 'Be3 Cu6 Au3'
_cell_length_a 2.7275
_cell_length_b 2.7275
_cell_length_c 24.4958
_cell_angle_alpha 90.00
_cell_angle_beta 90.00
_cell_angle_gamma 120.00
_space_group_name_H-M_alt 'R -3 m'
_space_group_IT_number 166
_space_group_name_Hall '-R 3 2"'
loop_
_atom_site_label
_atom_site_type_symbol
_atom_site_fract_x
_atom_site_fract_y
_atom_site_fract_z
_atom_site_occupancy
Be1 Be 0.0000 0.0000 0.0000 1
Cu1 Cu 0.0000 0.0000 0.2628 1
Au1 Au 0.0000 0.0000 0.5000 1
```

Calculated values
* final energy: -3.6951 eV/atom

---

# Li2InPd6

Crystalline Li2InPd6 at its relaxed geometry (PBE, Alexandria).

Cell and atoms, written as CIF:
```
data_Li2InPd6
_chemical_formula_sum 'Li2 In1 Pd6'
_cell_length_a 4.4378
_cell_length_b 4.4378
_cell_length_c 8.0958
_cell_angle_alpha 90.00
_cell_angle_beta 90.00
_cell_angle_gamma 120.00
_space_group_name_H-M_alt 'P -3 m 1'
_space_group_IT_number 164
_space_group_name_Hall '-P 3 2"'
loop_
_atom_site_label
_atom_site_type_symbol
_atom_site_fract_x
_atom_site_fract_y
_atom_site_fract_z
_atom_site_occupancy
Li1 Li 0.3333 0.6667 0.2294 1
In1 In 0.0000 0.0000 0.0000 1
Pd1 Pd 0.0000 0.0000 0.3301 1
Pd2 Pd 0.3333 0.6667 0.5416 1
Pd3 Pd 0.3333 0.6667 0.8828 1
```

Calculated values
* offset from the most stable computed form: 0.000 eV/atom

---

# ScZnBr

Crystalline ScZnBr at its relaxed geometry (PBE, Alexandria).

Cell and atoms, written as CIF:
```
data_ScZnBr
_chemical_formula_sum 'Sc1 Zn1 Br1'
_cell_length_a 4.6609
_cell_length_b 4.6609
_cell_length_c 3.6600
_cell_angle_alpha 90.00
_cell_angle_beta 90.00
_cell_angle_gamma 120.00
_space_group_name_H-M_alt 'P -6 m 2'
_space_group_IT_number 187
_space_group_name_Hall 'P -6 2'
loop_
_atom_site_label
_atom_site_type_symbol
_atom_site_fract_x
_atom_site_fract_y
_atom_site_fract_z
_atom_site_occupancy
Sc1 Sc 0.0000 0.0000 0.0000 1
Zn1 Zn 0.3333 0.6667 0.5000 1
Br1 Br 0.6667 0.3333 0.0000 1
```

Calculated values
* formation energy from raw total energies: -0.307 eV per atom
* offset from the most stable computed form: 0.496 eV/atom